Entry 1:
DFT (PBE-GGA) results for a relaxed structure of Ti4Nb2Zn5.

Output
- Formation energy from the elements: 0.089 eV/atom

abc: 2.744 6.831 10.024
angles: 94.80 97.87 90.00
Sites, in units of the cell vectors:
Ti: 0.274 0.164 0.548
Ti: 0.726 0.836 0.452
Ti: 0.044 0.360 0.089
Ti: 0.956 0.640 0.911
Zn: 0.136 0.073 0.273
Zn: 0.815 0.533 0.630
Zn: 0.185 0.467 0.370
Zn: 0.500 0.000 0.000
Zn: 0.864 0.927 0.727
Nb: 0.410 0.297 0.820
Nb: 0.590 0.703 0.180

---

Entry 2:
DFT (PBE-GGA) results for a relaxed structure of Ti2Nb2Zn.

Output
- E above lowest polymorph: 0.189 eV/atom
- Formation energy from the elements: 0.186 eV/atom

abc: 7.052 7.052 3.623
angles: 90.00 90.00 90.00
Sites, in units of the cell vectors:
Ti: 0.665 0.835 0.500
Ti: 0.165 0.665 0.500
Ti: 0.335 0.165 0.500
Ti: 0.835 0.335 0.500
Nb: 0.636 0.136 0.000
Nb: 0.136 0.364 0.000
Nb: 0.864 0.636 0.000
Nb: 0.364 0.864 0.000
Zn: 0.500 0.500 0.000
Zn: 0.000 0.000 0.000

---

Entry 3:
DFT (PBE-GGA) results for a relaxed structure of TiNb3Zn.

Output
- E above lowest polymorph: 1.074 eV/atom
- Formation energy from the elements: 1.188 eV/atom

abc: 4.721 4.721 4.721
angles: 90.00 90.00 90.00
Last column: magnetic moment on the atom in μB.
Sites, in units of the cell vectors:
Nb: 0.000 0.000 0.500  -0.02
Nb: 0.500 0.000 0.000  -0.07
Nb: 0.000 0.500 0.000  -0.02
Zn: 0.000 0.000 0.000  0.00
Ti: 0.500 0.500 0.500  0.49

---

Entry 4:
DFT (PBE-GGA) results for a relaxed structure of Ti3NbZn2.

Output
- Formation energy from the elements: -0.118 eV/atom

abc: 3.244 3.244 9.322
angles: 90.00 90.00 90.00
Sites, in units of the cell vectors:
Zn: 0.500 0.500 0.165
Zn: 0.500 0.500 0.835
Ti: 0.000 0.000 0.331
Ti: 0.000 0.000 0.669
Ti: 0.000 0.000 0.000
Nb: 0.500 0.500 0.500

---

Entry 5:
DFT (PBE-GGA) results for a relaxed structure of Ti2NbZn6.

Output
- Formation energy from the elements: -0.131 eV/atom

abc: 7.400 7.400 2.936
angles: 90.00 90.00 120.00
Last column: magnetic moment on the atom in μB.
Sites, in units of the cell vectors:
Ti: 0.667 0.333 0.000  0.21
Ti: 0.333 0.667 0.000  0.21
Zn: 0.334 0.334 0.500  0.00
Zn: 0.000 0.334 0.500  0.00
Zn: 0.666 0.666 0.500  0.00
Zn: 0.000 0.666 0.500  0.00
Zn: 0.666 0.000 0.500  0.00
Zn: 0.334 0.000 0.500  0.00
Nb: 0.000 0.000 0.000  0.00

---

Entry 6:
DFT (PBE-GGA) results for a relaxed structure of Ti3NbZn.

Output
- E above lowest polymorph: 0.262 eV/atom
- Formation energy from the elements: 0.211 eV/atom

abc: 5.018 7.124 10.048
angles: 90.00 90.00 90.00
Sites, in units of the cell vectors:
Zn: 0.500 0.000 0.500
Zn: 0.000 0.500 0.500
Zn: 0.000 0.500 0.000
Zn: 0.500 0.000 0.000
Nb: 0.503 0.890 0.750
Nb: 0.003 0.610 0.750
Nb: 0.997 0.390 0.250
Nb: 0.497 0.110 0.250
Ti: 0.498 0.385 0.404
Ti: 0.998 0.115 0.096
Ti: 0.244 0.247 0.750
Ti: 0.744 0.253 0.750
Ti: 0.002 0.885 0.596
Ti: 0.502 0.615 0.904
Ti: 0.756 0.753 0.250
Ti: 0.498 0.385 0.096
Ti: 0.998 0.115 0.404
Ti: 0.002 0.885 0.904
Ti: 0.256 0.747 0.250
Ti: 0.502 0.615 0.596

---

Entry 7:
DFT (PBE-GGA) results for a relaxed structure of Ti4Nb4Zn.

Output
- Formation energy from the elements: -0.048 eV/atom

abc: 3.449 6.912 6.912
angles: 86.43 75.55 75.55
Sites, in units of the cell vectors:
Nb: 0.170 0.830 0.330
Nb: 0.500 0.830 0.670
Nb: 0.500 0.170 0.330
Nb: 0.830 0.170 0.670
Ti: 0.164 0.500 0.672
Ti: 0.164 0.172 0.000
Ti: 0.836 0.500 0.328
Ti: 0.836 0.828 0.000
Zn: 0.500 0.500 0.000

---

Entry 8:
DFT (PBE-GGA) results for a relaxed structure of TiNbZn.

Output
- E above lowest polymorph: 0.000 eV/atom
- Formation energy from the elements: -0.079 eV/atom

abc: 2.825 5.445 6.793
angles: 100.39 99.94 97.32
Sites, in units of the cell vectors:
Ti: 0.177 0.085 0.831
Ti: 0.823 0.915 0.169
Zn: 0.505 0.754 0.502
Zn: 0.495 0.246 0.498
Nb: 0.140 0.583 0.828
Nb: 0.860 0.417 0.172

---

Entry 9:
DFT (PBE-GGA) results for a relaxed structure of Ti2NbZn3.

Output
- Formation energy from the elements: -0.158 eV/atom

abc: 2.839 2.839 11.749
angles: 90.00 90.00 90.00
Last column: magnetic moment on the atom in μB.
Sites, in units of the cell vectors:
Ti: 0.500 0.500 0.164  0.50
Ti: 0.500 0.500 0.836  0.50
Zn: 0.000 0.000 0.000  0.00
Zn: 0.000 0.000 0.671  0.00
Zn: 0.000 0.000 0.329  0.00
Nb: 0.500 0.500 0.500  0.01

---

Entry 10:
DFT (PBE-GGA) results for a relaxed structure of Ti2Nb2Zn.

Output
- E above lowest polymorph: 0.121 eV/atom
- Formation energy from the elements: 0.118 eV/atom

abc: 6.958 6.958 3.599
angles: 90.00 90.00 90.00
Sites, in units of the cell vectors:
Nb: 0.332 0.168 0.500
Nb: 0.668 0.832 0.500
Nb: 0.168 0.668 0.500
Nb: 0.832 0.332 0.500
Ti: 0.365 0.865 0.000
Ti: 0.865 0.635 0.000
Ti: 0.635 0.135 0.000
Ti: 0.135 0.365 0.000
Zn: 0.500 0.500 0.000
Zn: 0.000 0.000 0.000

---

Entry 11:
DFT (PBE-GGA) results for a relaxed structure of Ti2Nb2Zn.

Output
- E above lowest polymorph: 0.000 eV/atom
- Formation energy from the elements: -0.003 eV/atom

abc: 4.717 5.591 7.056
angles: 101.59 109.53 90.00
Sites, in units of the cell vectors:
Nb: 0.788 0.457 0.597
Nb: 0.212 0.543 0.403
Nb: 0.191 0.043 0.403
Nb: 0.809 0.957 0.597
Ti: 0.623 0.658 0.192
Ti: 0.377 0.342 0.808
Ti: 0.430 0.842 0.808
Ti: 0.570 0.158 0.192
Zn: 0.029 0.750 0.000
Zn: 0.971 0.250 0.000

---

Entry 12:
DFT (PBE-GGA) results for a relaxed structure of TiNbZn.

Output
- E above lowest polymorph: 0.022 eV/atom
- Formation energy from the elements: -0.057 eV/atom

abc: 5.770 4.013 9.227
angles: 90.00 111.73 90.00
Sites, in units of the cell vectors:
Zn: 0.657 0.500 0.330
Zn: 0.657 0.000 0.830
Zn: 0.343 0.500 0.670
Zn: 0.343 0.000 0.170
Nb: 0.838 0.500 0.664
Nb: 0.162 0.000 0.836
Nb: 0.838 0.000 0.164
Nb: 0.162 0.500 0.336
Ti: 0.000 0.000 0.500
Ti: 0.500 0.000 0.500
Ti: 0.500 0.500 0.000
Ti: 0.000 0.500 0.000

---

Entry 13:
DFT (PBE-GGA) results for a relaxed structure of Ti2Nb2Zn.

Output
- E above lowest polymorph: 0.560 eV/atom
- Formation energy from the elements: 0.557 eV/atom

abc: 3.721 3.721 7.207
angles: 75.04 75.04 90.00
Sites, in units of the cell vectors:
Nb: 0.408 0.408 0.183
Nb: 0.592 0.592 0.817
Ti: 0.750 0.250 0.500
Ti: 0.250 0.750 0.500
Zn: 0.000 0.000 0.000

---

Entry 14:
DFT (PBE-GGA) results for a relaxed structure of TiNbZn.

Output
- E above lowest polymorph: 0.031 eV/atom
- Formation energy from the elements: -0.048 eV/atom

abc: 2.778 2.778 13.423
angles: 90.18 90.18 76.64
Last column: magnetic moment on the atom in μB.
Sites, in units of the cell vectors:
Zn: 0.311 0.311 0.829  0.00
Zn: 0.824 0.824 0.674  0.00
Nb: 0.819 0.819 0.344  0.03
Nb: 0.317 0.317 0.159  0.03
Ti: 0.815 0.815 0.990  0.41
Ti: 0.321 0.321 0.513  0.41

---

Entry 15:
DFT (PBE-GGA) results for a relaxed structure of Ti4NbZn.

Output
- E above lowest polymorph: 0.000 eV/atom
- Formation energy from the elements: -0.047 eV/atom

abc: 3.734 6.561 5.056
angles: 105.32 68.33 73.47
Sites, in units of the cell vectors:
Zn: 0.500 0.500 0.500
Nb: 0.000 0.000 0.000
Ti: 0.161 0.173 0.504
Ti: 0.674 0.661 0.991
Ti: 0.839 0.827 0.496
Ti: 0.326 0.339 0.009

---

Entry 16:
DFT (PBE-GGA) results for a relaxed structure of Ti3NbZn.

Output
- E above lowest polymorph: 0.000 eV/atom
- Formation energy from the elements: -0.050 eV/atom

abc: 5.441 4.659 7.727
angles: 89.95 73.56 64.53
Sites, in units of the cell vectors:
Ti: 0.057 0.214 0.886
Ti: 0.682 0.901 0.781
Ti: 0.075 0.705 0.380
Ti: 0.311 0.086 0.169
Ti: 0.686 0.399 0.274
Ti: 0.293 0.595 0.674
Zn: 0.458 0.513 0.977
Zn: 0.910 0.787 0.078
Nb: 0.471 0.007 0.480
Nb: 0.898 0.293 0.575

---

Entry 17:
DFT (PBE-GGA) results for a relaxed structure of TiNbZn.

Output
- E above lowest polymorph: 0.154 eV/atom
- Formation energy from the elements: 0.076 eV/atom

abc: 2.619 4.706 4.706
angles: 120.00 90.00 90.00
Last column: magnetic moment on the atom in μB.
Sites, in units of the cell vectors:
Ti: 0.625 0.333 0.667  0.47
Zn: 0.351 0.667 0.333  0.00
Nb: 0.024 0.000 0.000  0.08

---

Entry 18:
DFT (PBE-GGA) results for a relaxed structure of Ti3NbZn8.

Output
- Formation energy from the elements: -0.165 eV/atom

abc: 5.084 5.084 8.118
angles: 90.00 90.00 120.00
Last column: magnetic moment on the atom in μB.
Sites, in units of the cell vectors:
Zn: 0.989 0.495 0.749  0.00
Zn: 0.333 0.667 0.500  0.00
Zn: 0.333 0.667 0.001  0.00
Zn: 0.505 0.495 0.749  0.00
Zn: 0.505 0.011 0.749  0.00
Zn: 0.161 0.322 0.251  0.00
Zn: 0.161 0.839 0.251  0.00
Zn: 0.678 0.839 0.251  0.00
Ti: 0.667 0.333 0.434  0.54
Ti: 0.000 0.000 0.929  0.84
Ti: 0.667 0.333 0.068  0.99
Nb: 0.000 0.000 0.569  0.21

---

Entry 19:
DFT (PBE-GGA) results for a relaxed structure of TiNbZn4.

Output
- E above lowest polymorph: 0.029 eV/atom
- Formation energy from the elements: -0.103 eV/atom

abc: 2.951 4.271 7.397
angles: 90.00 90.00 90.00
Sites, in units of the cell vectors:
Zn: 0.000 0.500 0.168
Zn: 0.000 0.000 0.665
Zn: 0.000 0.000 0.335
Zn: 0.000 0.500 0.832
Nb: 0.500 0.000 0.000
Ti: 0.500 0.500 0.500

---

Entry 20:
DFT (PBE-GGA) results for a relaxed structure of Ti2Nb3Zn3.

Output
- Formation energy from the elements: -0.099 eV/atom

abc: 4.134 3.875 8.208
angles: 90.00 90.00 90.00
Sites, in units of the cell vectors:
Ti: 0.000 0.000 0.747
Ti: 0.000 0.000 0.253
Zn: 0.500 0.000 0.500
Zn: 0.000 0.500 0.000
Zn: 0.000 0.500 0.500
Nb: 0.500 0.500 0.744
Nb: 0.500 0.000 0.000
Nb: 0.500 0.500 0.256

---

Entry 21:
DFT (PBE-GGA) results for a relaxed structure of TiNbZn.

Output
- E above lowest polymorph: 0.010 eV/atom
- Formation energy from the elements: -0.068 eV/atom

abc: 2.946 3.727 9.099
angles: 90.00 90.00 90.00
Sites, in units of the cell vectors:
Nb: 0.000 0.000 0.567
Nb: 0.500 0.500 0.067
Ti: 0.000 0.000 0.238
Ti: 0.500 0.500 0.738
Zn: 0.000 0.000 0.898
Zn: 0.500 0.500 0.398

---

Entry 22:
DFT (PBE-GGA) results for a relaxed structure of Ti3Nb2Zn2.

Output
- Formation energy from the elements: 0.028 eV/atom

abc: 2.597 7.028 7.452
angles: 112.84 79.97 79.35
Sites, in units of the cell vectors:
Nb: 0.198 0.944 0.659
Nb: 0.802 0.056 0.341
Ti: 0.351 0.221 0.078
Ti: 0.649 0.779 0.922
Ti: 0.000 0.500 0.500
Zn: 0.568 0.635 0.228
Zn: 0.432 0.365 0.772

---

Entry 23:
DFT (PBE-GGA) results for a relaxed structure of Ti6NbZn5.

Output
- Formation energy from the elements: -0.155 eV/atom

abc: 4.503 6.314 7.104
angles: 90.00 71.52 90.00
Sites, in units of the cell vectors:
Ti: 0.166 0.751 0.667
Ti: 0.166 0.249 0.667
Ti: 0.834 0.249 0.333
Ti: 0.834 0.751 0.333
Ti: 0.500 0.748 0.000
Ti: 0.500 0.252 0.000
Nb: 0.000 0.000 0.000
Zn: 0.332 0.500 0.335
Zn: 0.668 0.500 0.665
Zn: 0.336 0.000 0.327
Zn: 0.000 0.500 0.000
Zn: 0.664 0.000 0.673

---

Entry 24:
DFT (PBE-GGA) results for a relaxed structure of TiNb6Zn.

Output
- Formation energy from the elements: -0.024 eV/atom

abc: 3.375 6.490 6.490
angles: 90.11 90.00 90.00
Sites, in units of the cell vectors:
Ti: 0.000 0.877 0.123
Nb: 0.000 0.879 0.627
Nb: 0.500 0.624 0.873
Nb: 0.000 0.373 0.627
Nb: 0.500 0.127 0.376
Nb: 0.500 0.121 0.879
Nb: 0.000 0.373 0.121
Zn: 0.500 0.627 0.373